(1)
Here is a geometry-optimized Pr5Tl2Sn structure from the Alexandria database. Energies are from PBE.

Properties
The calculation puts the formation enthalpy at 0 K at -0.42 eV/atom. Its uncorrected energy is -4.4948 eV per atom. Its magnetic moment is 0.000 μB/atom. Its symmetry is I4/mcm. The theoretical density is 7.9 Mg/m³.

```
Pr5Tl2Sn
1.0
-0.9036 6.7083 -5.5709
-8.6997 -0.3126 1.0347
5.2556 1.1149 7.3878
Pr Tl Sn
10 4 2
Cartesian
-2.7741 3.9789 3.0118
-7.7534 5.4884 -1.2606
0.0000 0.0000 0.0000
-4.8016 3.1979 -2.2681
3.4058 2.0222 4.1122
1.4160 5.3211 1.5096
-0.7844 0.6800 5.6143
-5.7637 2.1895 1.3420
-3.5633 6.8306 -2.7627
-1.5736 3.5317 -0.1602
-3.2808 0.8064 -0.3884
-1.7686 4.2312 -3.4074
-7.8347 2.1646 -1.1288
-6.3224 5.5893 -4.1478
-4.5747 5.3543 0.2917
0.2270 2.1564 2.5599
```

---

(2)
Here is a geometry-optimized Sc2MoOs structure from the Alexandria database. Energies are from PBE.

Properties
The calculation puts the formation enthalpy at 0 K at 0.02 eV/atom. Its uncorrected energy is -8.6571 eV per atom. Its magnetic moment is 0.000 μB/atom. Its symmetry is Cmmm. The theoretical density is 9.0 Mg/m³.

```
Sc2MoOs
1.0
2.8960 -0.0044 0.0000
-1.0397 2.7029 0.0000
0.0000 0.0000 8.8937
Mo Os Sc
1 1 2
Cartesian
0.9281 1.3493 2.2234
0.9281 1.3493 6.6703
0.0000 0.0000 8.7788
0.0000 0.0000 4.5618
```

---

(3)
Here is a geometry-optimized Pm4Ni2Sn5 structure from the Alexandria database. Energies are from PBE.

Properties
The calculation puts the formation enthalpy at 0 K at -0.58 eV/atom. Its uncorrected energy is -5.1762 eV per atom. Its magnetic moment is 0.000 μB/atom. Its symmetry is P2/m. The theoretical density is 7.6 Mg/m³.

```
Pm4Ni2Sn5
1.0
4.2989 0.0000 0.0000
0.0000 7.4104 0.2156
0.0000 -0.4504 8.8730
Pm Ni Sn
4 2 5
Cartesian
2.1494 5.4267 5.4178
2.1494 1.1839 7.6765
2.1494 1.5332 3.6708
2.1494 5.7760 1.4120
0.0000 0.2538 5.5181
0.0000 6.7062 3.5705
0.0000 4.1157 3.1876
0.0000 0.8403 1.2571
0.0000 3.7052 0.1078
0.0000 6.1196 7.8315
0.0000 2.8442 5.9010
```